Computed, not measured: an optimized crystal structure of AcPm2Pr at the GGA-PBE level of DFT.

abc: 5.959 5.959 5.959
angles: 60.00 60.00 60.00
Fractional positions:
Ac 0.000 0.000 0.000
Pm 0.250 0.250 0.250
Pm 0.750 0.750 0.750
Pr 0.500 0.500 0.500

Energy relative to the elements (meV/atom): 130
Electronic total energy (eV/atom): -4.47
V (Å³ per cell): 150
Fermi-level density of states (states/eV per cell): 9.3